[1]
Here is a geometry-optimized HfSiW structure from the Open Quantum Materials Database. Energies are from PBE.

Unit cell a=6.938 b=3.513 c=8.188 alpha=90.00 beta=90.00 gamma=90.00
Space group Pnma (No. 62)
Inequivalent atoms, fractional coordinates:
Hf  0.042  0.250  0.166 x4
Si  0.244  0.750  0.360 x4
W  0.133  0.250  0.561 x4

V (Å³ per cell): 199.6
Crystal system: orthorhombic
Theoretical density (g/cm³): 12.993
Energy (eV/atom): -10.07

***

[2]
Here is a geometry-optimized YHfSi2 structure from the Open Quantum Materials Database. Energies are from PBE.

Unit cell a=6.756 b=6.756 c=6.756 alpha=90.00 beta=90.00 gamma=90.00
Space group F-43m (No. 216)
Inequivalent atoms, fractional coordinates:
Y  0.000  0.000  0.000 x4
Hf  0.250  0.250  0.250 x4
Si  0.000  0.000  0.500 x4
Si  0.250  0.250  0.750 x4

V (Å³ per cell): 308.4
Crystal system: cubic
Theoretical density (g/cm³): 6.969
Energy (eV/atom): -6.57

***

[3]
Here is a geometry-optimized YHf2Si structure from the Open Quantum Materials Database. Energies are from PBE.

Unit cell a=6.972 b=6.972 c=6.972 alpha=90.00 beta=90.00 gamma=90.00
Space group F-43m (No. 216)
Inequivalent atoms, fractional coordinates:
Y  0.000  0.000  0.000 x4
Hf  0.000  0.000  0.500 x4
Hf  0.250  0.250  0.250 x4
Si  0.250  0.250  0.750 x4

V (Å³ per cell): 338.9
Crystal system: cubic
Theoretical density (g/cm³): 9.290
Energy (eV/atom): -7.89

***

[4]
Here is a geometry-optimized HfZn2Si structure from the Open Quantum Materials Database. Energies are from PBE.

Unit cell a=6.411 b=6.411 c=6.411 alpha=90.00 beta=90.00 gamma=90.00
Space group F-43m (No. 216)
Inequivalent atoms, fractional coordinates:
Hf  0.000  0.000  0.000 x4
Zn  0.000  0.000  0.500 x4
Zn  0.250  0.250  0.250 x4
Si  0.250  0.250  0.750 x4

V (Å³ per cell): 263.5
Crystal system: cubic
Theoretical density (g/cm³): 8.505
Energy (eV/atom): -4.40

***

[5]
Here is a geometry-optimized HfZnSi structure from the Open Quantum Materials Database. Energies are from PBE.

Unit cell a=6.255 b=6.255 c=6.255 alpha=90.00 beta=90.00 gamma=90.00
Space group F-43m (No. 216)
Inequivalent atoms, fractional coordinates:
Hf  0.000  0.000  0.000 x4
Zn  0.250  0.250  0.250 x4
Si  0.250  0.250  0.750 x4

V (Å³ per cell): 244.7
Crystal system: cubic
Theoretical density (g/cm³): 7.383
Energy (eV/atom): -5.41

***

[6]
Here is a geometry-optimized HfZnSi2 structure from the Open Quantum Materials Database. Energies are from PBE.

Unit cell a=6.442 b=6.442 c=6.442 alpha=90.00 beta=90.00 gamma=90.00
Space group F-43m (No. 216)
Inequivalent atoms, fractional coordinates:
Hf  0.000  0.000  0.000 x4
Zn  0.250  0.250  0.750 x4
Si  0.000  0.000  0.500 x4
Si  0.250  0.250  0.250 x4

V (Å³ per cell): 267.3
Crystal system: cubic
Theoretical density (g/cm³): 7.455
Energy (eV/atom): -5.27